# 1
A relaxed structure of La3Pr2Sm8. Source: Alexandria, functional PBE-GGA.

The structure in extended XYZ format:
```
13
Lattice="10.4433 -3.8982 0.0000 10.4433 3.8982 0.0000 -0.0084 0.0000 5.7636" Properties=species:S:1:pos:R:3 pbc="T T T"
La 0.0000 0.0000 0.0000
La 10.4391 1.5855 2.8818
La 10.4391 -1.5855 2.8818
Pr 5.0437 0.0000 5.7487
Pr 15.8346 0.0000 0.0150
Sm 2.7914 0.0000 2.8754
Sm 8.2044 1.6271 5.7615
Sm 6.8899 0.0000 2.8716
Sm 12.6738 1.6271 0.0021
Sm 8.2044 -1.6271 5.7615
Sm 13.9883 0.0000 2.8920
Sm 12.6738 -1.6271 0.0021
Sm 18.0869 0.0000 2.8882
```

Properties
- DOS at the Fermi energy: 22.96 states/eV per cell
- Formation energy: 0.2250 eV per atom
- Energy relative to the lowest polymorph listed for this composition: 0.2047 eV per atom
- Volume: 469 Å³ per cell
- Calculated total energy: -59.2 eV/cell

# 2
A relaxed structure of La4PrSm5. Source: Alexandria, functional PBE-GGA.

The structure in extended XYZ format:
```
20
Lattice="10.6704 0.0000 0.0000 0.0000 10.6704 0.0000 0.0000 0.0000 6.1259" Properties=species:S:1:pos:R:3 pbc="T T T"
La 0.5206 8.0028 0.8009
La 2.6676 5.8558 5.3251
La 2.6676 10.1498 5.3251
La 4.8146 8.0028 0.8009
La 5.8558 2.6676 5.3251
La 8.0028 0.5206 0.8009
La 8.0028 4.8146 0.8009
La 10.1498 2.6676 5.3251
Pr 2.6676 2.6676 5.1625
Pr 8.0028 8.0028 0.9635
Sm 0.9503 0.9503 2.1045
Sm 0.9503 4.3849 2.1045
Sm 2.6676 8.0028 3.0630
Sm 4.3849 0.9503 2.1045
Sm 4.3849 4.3849 2.1045
Sm 6.2855 6.2855 4.0214
Sm 6.2855 9.7200 4.0214
Sm 8.0028 2.6676 3.0630
Sm 9.7200 6.2855 4.0214
Sm 9.7200 9.7200 4.0214
```

Properties
- DOS at the Fermi energy: 26.01 states/eV per cell
- Formation energy: 0.1587 eV per atom
- Energy relative to the lowest polymorph listed for this composition: 0.0063 eV per atom
- Volume: 697 Å³ per cell
- Calculated total energy: -93.0 eV/cell

# 3
A relaxed structure of La2Pr3Sm3. Source: Alexandria, functional PBE-GGA.

The structure in extended XYZ format:
```
16
Lattice="1.8064 -8.7463 0.0000 1.8064 8.7463 0.0000 0.0000 0.0000 18.1949" Properties=species:S:1:pos:R:3 pbc="T T T"
La 1.8064 4.6263 11.9051
La 1.8064 4.6263 15.3872
La 1.8064 -4.6263 2.8077
La 1.8064 -4.6263 6.2897
Pr 1.8064 2.6711 0.0022
Pr 1.8064 2.6711 9.0952
Pr 1.8064 1.7092 13.6461
Pr 1.8064 -1.7092 4.5487
Pr 1.8064 -2.6711 18.1926
Pr 1.8064 -2.6711 9.0997
Sm 1.8064 8.7411 1.8452
Sm 1.8064 8.7411 7.2522
Sm 1.8064 -8.7411 10.9426
Sm 1.8064 -8.7411 16.3497
Sm 1.8064 1.5761 4.5487
Sm 1.8064 -1.5761 13.6461
```

Properties
- DOS at the Fermi energy: 22.49 states/eV per cell
- Formation energy: 0.1158 eV per atom
- Energy relative to the lowest polymorph listed for this composition: 0.1017 eV per atom
- Volume: 575 Å³ per cell
- Calculated total energy: -74.8 eV/cell

# 4
A relaxed structure of La8PrSm5. Source: Alexandria, functional PBE-GGA.

The structure in extended XYZ format:
```
14
Lattice="-4.9231 4.9231 5.2715 4.9231 -4.9231 5.2715 4.9231 4.9231 -5.2715" Properties=species:S:1:pos:R:3 pbc="T T T"
La 1.8309 -0.7878 2.5856
La 3.0923 5.7109 -2.6858
La 0.6987 3.2200 1.0542
La 4.1354 3.0923 2.6858
La -0.6987 6.6263 1.0542
La -1.7031 4.2245 4.2173
La 0.7878 1.8309 7.9573
La 1.7031 5.6218 4.2173
Pr 4.9231 0.0000 2.6357
Sm 0.0000 0.0000 0.0000
Sm 3.8908 2.9121 -0.7603
Sm 2.0110 -1.0323 6.0318
Sm 1.0323 2.0110 4.5112
Sm 2.9121 5.9555 0.7603
```

Properties
- DOS at the Fermi energy: 21.60 states/eV per cell
- Formation energy: 0.2106 eV per atom
- Volume: 511 Å³ per cell
- Calculated total energy: -64.8 eV/cell

# 5
A relaxed structure of LaPr5Sm6. Source: Alexandria, functional PBE-GGA.

The structure in extended XYZ format:
```
12
Lattice="3.1912 -5.5314 0.0000 3.1912 5.5314 0.0000 -2.1332 0.0000 11.9440" Properties=species:S:1:pos:R:3 pbc="T T T"
La 0.0000 0.0000 0.0000
Pr 2.1246 3.6862 5.9720
Pr 3.1912 1.8438 0.0000
Pr 2.1246 0.0000 5.9720
Pr 3.1912 -1.8438 0.0000
Pr 2.1246 -3.6862 5.9720
Sm 1.0591 1.8458 2.9908
Sm 0.0021 0.0000 8.9528
Sm 1.0591 -1.8458 2.9908
Sm 3.1900 1.8458 8.9531
Sm 4.2470 0.0000 2.9912
Sm 3.1900 -1.8458 8.9531
```

Properties
- DOS at the Fermi energy: 17.68 states/eV per cell
- Formation energy: 0.0121 eV per atom
- Volume: 422 Å³ per cell
- Calculated total energy: -57.0 eV/cell

# 6
A relaxed structure of La2Pr3Sm2. Source: Alexandria, functional PBE-GGA.

The structure in extended XYZ format:
```
7
Lattice="3.7026 0.0000 0.0000 1.8439 6.1174 0.0000 0.0216 1.1202 11.0758" Properties=species:S:1:pos:R:3 pbc="T T T"
La 0.9322 0.8296 3.9439
La 4.6358 6.4081 7.1318
Pr 2.7911 5.8455 10.2922
Pr 2.7840 3.6188 5.5379
Pr 2.7770 1.3921 0.7836
Sm 0.9391 3.0767 8.7192
Sm 4.6289 4.1610 2.3565
```

Properties
- DOS at the Fermi energy: 12.34 states/eV per cell
- Formation energy: 0.0156 eV per atom
- Energy relative to the lowest polymorph listed for this composition: 0.0000 eV per atom
- Volume: 251 Å³ per cell
- Calculated total energy: -33.5 eV/cell

# 7
A relaxed structure of La2Pr3Sm8. Source: Alexandria, functional PBE-GGA.

The structure in extended XYZ format:
```
13
Lattice="6.6786 -5.9621 0.0000 6.6786 5.9621 0.0000 -2.4591 0.0000 5.7545" Properties=species:S:1:pos:R:3 pbc="T T T"
La 1.8728 0.0000 2.0284
La 9.0253 0.0000 3.7261
Pr 6.6786 2.8560 0.0000
Pr 5.4491 0.0000 2.8772
Pr 6.6786 -2.8560 0.0000
Sm -1.0983 0.0000 4.4894
Sm 3.5706 3.0416 1.8413
Sm 2.2302 0.0000 5.4876
Sm 7.3275 3.0416 3.9131
Sm 3.5706 -3.0416 1.8413
Sm 8.6680 0.0000 0.2669
Sm 7.3275 -3.0416 3.9131
Sm 11.9965 0.0000 1.2651
```

Properties
- DOS at the Fermi energy: 20.48 states/eV per cell
- Formation energy: 0.1488 eV per atom
- Energy relative to the lowest polymorph listed for this composition: 0.0000 eV per atom
- Volume: 458 Å³ per cell
- Calculated total energy: -60.0 eV/cell

# 8
A relaxed structure of LaPr4Sm2. Source: Alexandria, functional PBE-GGA.

The structure in extended XYZ format:
```
14
Lattice="6.6614 0.0000 0.0000 2.9093 8.3737 0.0000 1.0956 -0.1818 8.9790" Properties=species:S:1:pos:R:3 pbc="T T T"
La 0.0000 0.0000 0.0000
La 4.3760 1.3831 7.8688
Pr 1.8296 4.5909 0.4708
Pr 1.8805 1.7098 2.4897
Pr 3.8226 6.2380 3.0228
Pr 5.3797 5.1819 7.2647
Pr 5.2131 3.2768 1.2997
Pr 5.3008 0.3525 3.5948
Pr 8.7422 6.4481 6.4440
Pr 7.6293 2.6935 6.5861
Sm 5.3093 8.1018 5.4585
Sm 3.9519 3.3130 4.8099
Sm 6.2453 7.0632 0.8520
Sm 7.0970 5.0401 3.8224
```

Properties
- DOS at the Fermi energy: 21.51 states/eV per cell
- Formation energy: 0.0655 eV per atom
- Energy relative to the lowest polymorph listed for this composition: 0.0000 eV per atom
- Volume: 501 Å³ per cell
- Calculated total energy: -66.1 eV/cell